# KTcP3

Crystalline KTcP3 at its relaxed geometry (GGA-PBEsol, Alexandria via LeMat-Bulk).

Lattice parameters (Å, degrees): 4.9215 4.9215 4.9215 90.00 90.00 90.00
With the nearest neighbours (Å) after each atom.
Fractional coordinates of all 5 atoms:
P 0.0000 0.5000 0.0000  2 K 2.46
P 0.0000 0.0000 0.5000  2 K 2.46
P 0.5000 0.0000 0.0000  2 K 2.46
K 0.0000 0.0000 0.0000  6 P 2.46
Tc 0.5000 0.5000 0.5000  12 P 3.48

Calculated values
- Theoretical density: 3.2 g/cm³
- M_tot: 3.80 Bohr magnetons per cell
- E: -16.7 eV/cell